A plane-wave DFT calculation with PBE was carried out for a relaxed CrGaAs crystal.

The structure in POSCAR format:
```
CrGaAs
1.0
2.981 0.000 0.000
0.000 2.981 0.000
0.000 0.000 5.474
Cr Ga As
1 1 1
Direct
0.000 0.000 0.000 Cr
0.500 0.500 0.297 Ga
0.500 0.500 0.761 As
```

Computed properties:
DFT total energy = -17.5 eV per cell
offset from the most stable computed form = 66 meV/atom
density = 6.7 g/cm³
energy of formation from the pure elements = -0.0516 eV/atom
density of states at the Fermi level = 0.9656 states/eV per atom